(1)
Entry from Alexandria: an optimized crystal structure of Na3SiI (PBE).

Cell: 5.8434 5.8434 5.8434 Å, 90.00 90.00 90.00°
Closest atoms and distances in Å follow each position.
Atoms (fractional coordinates):
Na (0.0000, 0.0000, 0.5000)  2 I 2.92
Na (0.0000, 0.5000, 0.0000)  2 I 2.92
Na (0.5000, 0.0000, 0.0000)  2 I 2.92
Si (0.5000, 0.5000, 0.5000)  12 Na 4.13
I (0.0000, 0.0000, 0.0000)  6 Na 2.92

Summary:
formation energy from raw total energies	0.134	eV/atom
final energy	-10.262	eV per cell
symmetry	No. 221

---

(2)
Entry from Alexandria: an optimized crystal structure of NaSiI2 (PBE).

Cell: 5.5116 5.5116 5.5116 Å, 60.00 60.00 60.00°
Closest atoms and distances in Å follow each position.
Atoms (fractional coordinates):
Na (0.0000, 0.0000, 0.0000)  8 I 3.38
Si (0.5000, 0.5000, 0.5000)  8 I 3.38
I (0.2500, 0.2500, 0.2500)  4 Na 3.38, 4 Si 3.38
I (0.7500, 0.7500, 0.7500)  4 Na 3.38, 4 Si 3.38

Summary:
formation energy from raw total energies	-0.004	eV/atom
final energy	-9.859	eV per cell
symmetry	No. 225

---

(3)
Entry from Alexandria: an optimized crystal structure of NaSiI3 (PBE).

Cell: 5.7488 5.7488 5.7488 Å, 90.00 90.00 90.00°
Closest atoms and distances in Å follow each position.
Atoms (fractional coordinates):
Na (0.0000, 0.0000, 0.0000)  12 I 4.07
Si (0.5000, 0.5000, 0.5000)  6 I 2.87
I (0.0000, 0.5000, 0.5000)  2 Si 2.87
I (0.5000, 0.0000, 0.5000)  2 Si 2.87
I (0.5000, 0.5000, 0.0000)  2 Si 2.87

Summary:
formation energy from raw total energies	-0.398	eV/atom
final energy	-13.384	eV per cell
symmetry	No. 221

---

(4)
Entry from Alexandria: an optimized crystal structure of NaTaSi2I (PBE).

Cell: 4.8825 4.8825 5.3336 Å, 90.00 90.00 90.00°
Closest atoms and distances in Å follow each position.
Atoms (fractional coordinates):
Na (0.0000, 0.0000, 0.0000)  4 Si 2.44, 2 Ta 2.67
Ta (0.0000, 0.0000, 0.5000)  2 Na 2.67
Si (0.0000, 0.5000, 0.0000)  2 Na 2.44
Si (0.5000, 0.0000, 0.0000)  2 Na 2.44
I (0.5000, 0.5000, 0.5000)  4 Ta 3.45, 8 Si 3.62

Summary:
formation energy from raw total energies	1.913	eV/atom
final energy	-16.001	eV per cell
symmetry	No. 123

---

(5)
Entry from Alexandria: an optimized crystal structure of NaSiTc2I (PBE).

Cell: 4.9232 4.9232 5.4654 Å, 90.00 90.00 90.00°
Closest atoms and distances in Å follow each position.
Atoms (fractional coordinates):
Na (0.0000, 0.0000, 0.0000)  4 Si 3.48, 8 Tc 3.68
Si (0.5000, 0.5000, 0.0000)  2 I 2.73
Tc (0.0000, 0.5000, 0.5000)  2 I 2.46
Tc (0.5000, 0.0000, 0.5000)  2 I 2.46
I (0.5000, 0.5000, 0.5000)  4 Tc 2.46, 2 Si 2.73

Summary:
formation energy from raw total energies	1.768	eV/atom
final energy	-20.187	eV per cell
symmetry	No. 123

---

(6)
Entry from Alexandria: an optimized crystal structure of NaSiTeI2 (PBE).

Cell: 5.6519 5.6519 5.7684 Å, 90.00 90.00 90.00°
Closest atoms and distances in Å follow each position.
Atoms (fractional coordinates):
Na (0.0000, 0.0000, 0.0000)  4 I 2.83, 2 Te 2.88
Si (0.5000, 0.5000, 0.5000)  4 Te 4.00, 8 I 4.04
Te (0.0000, 0.0000, 0.5000)  2 Na 2.88
I (0.0000, 0.5000, 0.0000)  2 Na 2.83
I (0.5000, 0.0000, 0.0000)  2 Na 2.83

Summary:
formation energy from raw total energies	0.565	eV/atom
final energy	-10.160	eV per cell
symmetry	No. 123

---

(7)
Entry from Alexandria: an optimized crystal structure of NaSiTe2I (PBE).

Cell: 5.5361 5.5361 5.6411 Å, 90.00 90.00 90.00°
Closest atoms and distances in Å follow each position.
Atoms (fractional coordinates):
Na (0.0000, 0.0000, 0.0000)  4 Te 2.77, 2 I 2.82
Si (0.5000, 0.5000, 0.5000)  4 I 3.91, 8 Te 3.95
Te (0.0000, 0.5000, 0.0000)  2 Na 2.77
Te (0.5000, 0.0000, 0.0000)  2 Na 2.77
I (0.0000, 0.0000, 0.5000)  2 Na 2.82

Summary:
formation energy from raw total energies	0.756	eV/atom
final energy	-10.793	eV per cell
symmetry	No. 123

---

(8)
Entry from Alexandria: an optimized crystal structure of NaSiTe2I (PBE).

Cell: 5.3260 5.3260 5.9740 Å, 90.00 90.00 90.00°
Closest atoms and distances in Å follow each position.
Atoms (fractional coordinates):
Na (0.0000, 0.0000, 0.0000)  4 I 3.77, 8 Te 4.00
Si (0.5000, 0.5000, 0.5000)  4 Te 2.66
Te (0.0000, 0.5000, 0.5000)  2 Si 2.66
Te (0.5000, 0.0000, 0.5000)  2 Si 2.66
I (0.5000, 0.5000, 0.0000)  2 Si 2.99

Summary:
formation energy from raw total energies	-0.078	eV/atom
final energy	-14.963	eV per cell
symmetry	No. 123

---

Please write out number 8 again, unchanged.
Entry from Alexandria: an optimized crystal structure of NaSiTe2I (PBE).

Cell: 5.3260 5.3260 5.9740 Å, 90.00 90.00 90.00°
Closest atoms and distances in Å follow each position.
Atoms (fractional coordinates):
Na (0.0000, 0.0000, 0.0000)  4 I 3.77, 8 Te 4.00
Si (0.5000, 0.5000, 0.5000)  4 Te 2.66
Te (0.0000, 0.5000, 0.5000)  2 Si 2.66
Te (0.5000, 0.0000, 0.5000)  2 Si 2.66
I (0.5000, 0.5000, 0.0000)  2 Si 2.99

Summary:
formation energy from raw total energies	-0.078	eV/atom
final energy	-14.963	eV per cell
symmetry	No. 123

---

Which of these has the lowest final energy? NaSiTc2I